# 1
{
  "formula": "Cu3NiSb",
  "functional": "PBE",
  "state": "optimized geometry",
  "spacegroup": "No. 221",
  "formation_energy_uncorrected_ev_per_atom": 1.07,
  "dft_energy_ev_per_atom": -3.365,
  "lattice_angstrom": [[4.759, 0.000, 0.000], [0.000, 4.759, 0.000], [0.000, 0.000, 4.759]],
  "species": ["Cu", "Cu", "Cu", "Ni", "Sb"],
  "frac_coords": [[0.000, 0.000, 0.500], [0.000, 0.500, 0.000], [0.500, 0.000, 0.000], [0.500, 0.500, 0.500], [0.000, 0.000, 0.000]]
}

---

# 2
{
  "formula": "PuTiHgPb",
  "functional": "PBE",
  "state": "optimized geometry",
  "spacegroup": "No. 216",
  "dft_energy_ev_per_atom": -6.537,
  "formation_energy_mev_per_atom": 22,
  "lattice_angstrom": [[0.000, 3.647, 3.647], [3.647, 0.000, 3.647], [3.647, 3.647, 0.000]],
  "species": ["Pu", "Ti", "Hg", "Pb"],
  "frac_coords": [[0.000, 0.000, 0.000], [0.500, 0.500, 0.500], [0.750, 0.750, 0.750], [0.250, 0.250, 0.250]]
}

---

# 3
{
  "formula": "Cs3NaCe3Te8",
  "functional": "PBE",
  "state": "optimized geometry",
  "spacegroup": "No. 12",
  "formation_energy_uncorrected_ev_per_atom": -1.16,
  "dft_energy_ev_per_atom": -4.282,
  "lattice_angstrom": [[7.988, -4.613, 0.000], [7.988, 4.613, 0.000], [-5.318, 0.000, 8.899]],
  "species": ["Cs", "Cs", "Cs", "Na", "Ce", "Ce", "Ce", "Te", "Te", "Te", "Te", "Te", "Te", "Te", "Te"],
  "frac_coords": [[0.000, 0.000, 0.000], [0.000, 0.500, 0.000], [0.500, 0.000, 0.000], [0.000, 0.000, 0.500], [0.000, 0.500, 0.500], [0.500, 0.000, 0.500], [0.500, 0.500, 0.500], [0.241, 0.241, 0.689], [0.241, 0.706, 0.689], [0.270, 0.270, 0.309], [0.294, 0.759, 0.311], [0.706, 0.241, 0.689], [0.730, 0.730, 0.691], [0.759, 0.294, 0.311], [0.759, 0.759, 0.311]]
}

---

# 4
{
  "formula": "GePtW2",
  "functional": "PBE",
  "state": "optimized geometry",
  "spacegroup": "No. 225",
  "dft_energy_ev_per_atom": -8.895,
  "formation_energy_mev_per_atom": 246,
  "lattice_angstrom": [[0.000, 3.157, 3.157], [3.157, 0.000, 3.157], [3.157, 3.157, 0.000]],
  "species": ["Ge", "Pt", "W", "W"],
  "frac_coords": [[0.000, 0.000, 0.000], [0.500, 0.500, 0.500], [0.250, 0.250, 0.250], [0.750, 0.750, 0.750]]
}

---

# 5
{
  "formula": "Cs7Au2F2",
  "functional": "PBE",
  "state": "optimized geometry",
  "spacegroup": "No. 44",
  "formation_energy_uncorrected_ev_per_atom": -1.03,
  "dft_energy_ev_per_atom": -2.509,
  "lattice_angstrom": [[-2.248, 11.122, 6.240], [2.248, -11.122, 6.240], [2.248, 11.122, -6.240]],
  "species": ["Cs", "Cs", "Cs", "Cs", "Cs", "Cs", "Cs", "Au", "Au", "F", "F"],
  "frac_coords": [[0.000, 0.000, 0.000], [0.223, 0.544, 0.679], [0.293, 0.389, 0.904], [0.485, 0.389, 0.096], [0.635, 0.250, 0.385], [0.865, 0.544, 0.321], [0.866, 0.250, 0.615], [0.226, 0.726, 0.500], [0.636, 0.636, 0.000], [0.048, 0.924, 0.123], [0.801, 0.924, 0.877]]
}

---

# 6
{
  "formula": "MgIr2Ru",
  "functional": "PBE",
  "state": "optimized geometry",
  "spacegroup": "No. 8",
  "dft_energy_ev_per_atom": -7.251,
  "formation_energy_mev_per_atom": -102,
  "lattice_angstrom": [[4.590, -1.386, 0.000], [4.590, 1.386, 0.000], [-0.785, 0.000, 4.653]],
  "species": ["Mg", "Ir", "Ir", "Ru"],
  "frac_coords": [[0.000, 0.000, 0.000], [0.496, 0.496, 0.503], [0.757, 0.757, 0.235], [0.236, 0.236, 0.716]]
}

---

# 7
{
  "formula": "TaTl2Cl",
  "functional": "PBE",
  "state": "optimized geometry",
  "spacegroup": "No. 119",
  "formation_energy_uncorrected_ev_per_atom": 0.66,
  "dft_energy_ev_per_atom": -3.947,
  "lattice_angstrom": [[-2.084, 2.084, 5.832], [2.084, -2.084, 5.832], [2.084, 2.084, -5.832]],
  "species": ["Ta", "Tl", "Tl", "Cl"],
  "frac_coords": [[0.000, 0.000, 0.000], [0.250, 0.750, 0.500], [0.500, 0.500, 0.000], [0.750, 0.250, 0.500]]
}

---

# 8
{
  "formula": "Y4TmAs5",
  "functional": "PBE",
  "state": "optimized geometry",
  "spacegroup": "No. 87",
  "dft_energy_ev_per_atom": -6.905,
  "formation_energy_mev_per_atom": -1547,
  "lattice_angstrom": [[-4.597, 4.597, 2.908], [4.597, -4.597, 2.908], [4.597, 4.597, -2.908]],
  "species": ["Y", "Y", "Y", "Y", "Tm", "As", "As", "As", "As", "As"],
  "frac_coords": [[0.099, 0.700, 0.799], [0.300, 0.099, 0.399], [0.700, 0.901, 0.601], [0.901, 0.300, 0.201], [0.500, 0.500, 0.000], [0.000, 0.000, 0.000], [0.202, 0.401, 0.603], [0.401, 0.798, 0.199], [0.599, 0.202, 0.801], [0.798, 0.599, 0.397]]
}

---

# 9
{
  "formula": "Li2BeH4",
  "functional": "PBE",
  "state": "optimized geometry",
  "spacegroup": "No. 139",
  "dft_energy_ev_per_atom": -3.208,
  "lattice_angstrom": [[-1.549, 1.549, 5.075], [1.549, -1.549, 5.075], [1.549, 1.549, -5.075]],
  "species": ["Li", "Li", "Be", "H", "H", "H", "H"],
  "frac_coords": [[0.143, 0.143, 0.000], [0.857, 0.857, 0.000], [0.500, 0.500, 0.000], [0.000, 0.500, 0.500], [0.338, 0.338, 0.000], [0.500, 0.000, 0.500], [0.662, 0.662, 0.000]]
}

---

# 10
{
  "formula": "Ac3Ga5Rh6",
  "functional": "PBE",
  "state": "optimized geometry",
  "spacegroup": "No. 59",
  "dft_energy_ev_per_atom": -5.839,
  "formation_energy_mev_per_atom": -727,
  "lattice_angstrom": [[4.312, 0.000, 0.000], [0.000, 12.951, 0.000], [0.000, 0.000, 10.292]],
  "species": ["Ac", "Ac", "Ac", "Ac", "Ac", "Ac", "Ga", "Ga", "Ga", "Ga", "Ga", "Ga", "Ga", "Ga", "Ga", "Ga", "Rh", "Rh", "Rh", "Rh", "Rh", "Rh", "Rh", "Rh", "Rh", "Rh", "Rh", "Rh"],
  "frac_coords": [[0.250, 0.087, 0.246], [0.250, 0.413, 0.246], [0.250, 0.750, 0.253], [0.750, 0.250, 0.747], [0.750, 0.587, 0.754], [0.750, 0.913, 0.754], [0.250, 0.078, 0.637], [0.250, 0.422, 0.637], [0.250, 0.621, 0.993], [0.250, 0.750, 0.600], [0.250, 0.879, 0.993], [0.750, 0.121, 0.007], [0.750, 0.250, 0.400], [0.750, 0.379, 0.007], [0.750, 0.578, 0.363], [0.750, 0.922, 0.363], [0.250, 0.057, 0.889], [0.250, 0.250, 0.014], [0.250, 0.250, 0.518], [0.250, 0.443, 0.889], [0.250, 0.580, 0.491], [0.250, 0.920, 0.491], [0.750, 0.080, 0.509], [0.750, 0.420, 0.509], [0.750, 0.557, 0.111], [0.750, 0.750, 0.482], [0.750, 0.750, 0.986], [0.750, 0.943, 0.111]]
}

---

# 11
{
  "formula": "Ta2ReW",
  "functional": "PBE",
  "state": "optimized geometry",
  "spacegroup": "No. 65",
  "dft_energy_ev_per_atom": -12.434,
  "formation_energy_mev_per_atom": -157,
  "lattice_angstrom": [[1.608, -2.312, 0.000], [1.608, 2.312, 0.000], [0.000, 0.000, 8.985]],
  "species": ["Ta", "Ta", "Re", "W"],
  "frac_coords": [[0.000, 0.000, 0.246], [0.000, 0.000, 0.754], [0.500, 0.500, 0.000], [0.500, 0.500, 0.500]]
}

---

# 12
{
  "formula": "Ta2PbAu",
  "functional": "PBE",
  "state": "optimized geometry",
  "spacegroup": "No. 47",
  "dft_energy_ev_per_atom": -7.339,
  "formation_energy_mev_per_atom": 334,
  "lattice_angstrom": [[2.985, 0.000, 0.000], [0.000, 4.412, 0.000], [0.000, 0.000, 5.888]],
  "species": ["Ta", "Ta", "Pb", "Au"],
  "frac_coords": [[0.000, 0.000, 0.237], [0.000, 0.000, 0.763], [0.500, 0.500, 0.500], [0.500, 0.500, 0.000]]
}

---

no.,density of states at the Fermi level (states/eV per cell)
1,8.44
2,10.97
3,4.56
4,3.05
5,6.21
6,4.10
7,3.35
8,0.70
9,0.00
10,13.40
11,1.84
12,2.35